# 1
This record from the Alexandria database describes In2SnPt2 after structural relaxation. The functional is PBE.

Cell and atoms, written as POSCAR:
```
In2SnPt2
1.0
-2.064 2.064 6.352
2.064 -2.064 6.352
2.064 2.064 -6.352
In Sn Pt
2 1 2
Direct
0.250 0.750 0.500
0.750 0.250 0.500
0.000 0.000 0.000
0.395 0.395 0.000
0.605 0.605 0.000
```

Computed properties:
- DFT total energy: -0.3345 Ry per atom


# 2
This record from the Alexandria database describes Ba4IrI4 after structural relaxation. The functional is PBE.

Cell and atoms, written as POSCAR:
```
Ba4IrI4
1.0
8.600 -2.389 0.000
8.600 2.389 0.000
-6.342 0.000 10.334
Ba Ir I
4 1 4
Direct
0.077 0.077 0.404
0.325 0.325 0.240
0.675 0.675 0.760
0.923 0.923 0.596
0.500 0.500 0.500
0.115 0.115 0.914
0.298 0.298 0.692
0.702 0.702 0.308
0.885 0.885 0.086
```

Computed properties:
- E_form (uncorrected): -1.267 eV per atom


# 3
This record from the Alexandria database describes AlOsRh2Pb after structural relaxation. The functional is PBE.

Cell and atoms, written as POSCAR:
```
AlOsRh2Pb
1.0
4.894 0.000 0.000
0.000 4.894 0.000
0.000 0.000 4.928
Al Os Rh Pb
1 1 2 1
Direct
0.000 0.000 0.000
0.500 0.500 0.000
0.000 0.500 0.500
0.500 0.000 0.500
0.000 0.000 0.500
```

Computed properties:
- DFT total energy: -0.3351 Ry per atom


# 4
This record from the Alexandria database describes Si5Cl after structural relaxation. The functional is PBE.

Cell and atoms, written as POSCAR:
```
Si5Cl
1.0
0.000 3.686 3.686
3.686 0.000 3.686
3.686 3.686 0.000
Si Cl
5 1
Direct
0.000 0.000 0.000
0.127 0.624 0.624
0.624 0.127 0.624
0.624 0.624 0.127
0.624 0.624 0.624
0.250 0.250 0.250
```

Computed properties:
- Relative energy among the computed polymorphs: 0.368 eV/atom
- E_form (uncorrected): 0.600 eV per atom


# 5
This record from the Alexandria database describes Ac12Ge3N5 after structural relaxation. The functional is PBE.

Cell and atoms, written as POSCAR:
```
Ac12Ge3N5
1.0
-8.483 8.483 8.483
8.483 -8.483 8.483
8.483 8.483 -8.483
Ac Ge N
48 12 20
Direct
0.018 0.203 0.115
0.018 0.316 0.903
0.087 0.703 0.684
0.087 0.885 0.403
0.097 0.615 0.413
0.097 0.982 0.684
0.115 0.018 0.203
0.115 0.597 0.913
0.184 0.203 0.587
0.184 0.482 0.597
0.203 0.115 0.018
0.203 0.587 0.184
0.297 0.316 0.913
0.297 0.482 0.385
0.316 0.903 0.018
0.316 0.913 0.297
0.385 0.297 0.482
0.385 0.587 0.903
0.403 0.087 0.885
0.403 0.816 0.518
0.413 0.097 0.615
0.413 0.816 0.797
0.482 0.385 0.297
0.482 0.597 0.184
0.518 0.403 0.816
0.518 0.615 0.703
0.587 0.184 0.203
0.587 0.903 0.385
0.597 0.184 0.482
0.597 0.913 0.115
0.615 0.413 0.097
0.615 0.703 0.518
0.684 0.087 0.703
0.684 0.097 0.982
0.703 0.518 0.615
0.703 0.684 0.087
0.797 0.413 0.816
0.797 0.885 0.982
0.816 0.518 0.403
0.816 0.797 0.413
0.885 0.403 0.087
0.885 0.982 0.797
0.903 0.018 0.316
0.903 0.385 0.587
0.913 0.115 0.597
0.913 0.297 0.316
0.982 0.684 0.097
0.982 0.797 0.885
0.125 0.250 0.375
0.125 0.375 0.750
0.250 0.375 0.125
0.250 0.875 0.625
0.375 0.125 0.250
0.375 0.750 0.125
0.625 0.250 0.875
0.625 0.875 0.750
0.750 0.125 0.375
0.750 0.625 0.875
0.875 0.625 0.250
0.875 0.750 0.625
0.000 0.000 0.000
0.000 0.000 0.500
0.000 0.500 0.000
0.000 0.500 0.500
0.125 0.750 0.875
0.125 0.875 0.250
0.250 0.125 0.875
0.250 0.625 0.375
0.375 0.250 0.625
0.375 0.625 0.750
0.500 0.000 0.000
0.500 0.000 0.500
0.500 0.500 0.000
0.500 0.500 0.500
0.625 0.375 0.250
0.625 0.750 0.375
0.750 0.375 0.625
0.750 0.875 0.125
0.875 0.125 0.750
0.875 0.250 0.125
```

Computed properties:
- E_form (uncorrected): -0.731 eV per atom


# 6
This record from the Alexandria database describes Ge3ClF after structural relaxation. The functional is PBE.

Cell and atoms, written as POSCAR:
```
Ge3ClF
1.0
4.793 0.000 0.000
0.000 4.793 0.000
0.000 0.000 4.793
Ge Cl F
3 1 1
Direct
0.000 0.000 0.500
0.000 0.500 0.000
0.500 0.000 0.000
0.500 0.500 0.500
0.000 0.000 0.000
```

Computed properties:
- Relative energy among the computed polymorphs: 0.000 eV/atom
- E_form (uncorrected): 0.195 eV per atom


# 7
This record from the Alexandria database describes BaCrW2 after structural relaxation. The functional is PBE.

Cell and atoms, written as POSCAR:
```
BaCrW2
1.0
1.673 -2.375 0.000
1.673 2.375 0.000
0.000 0.000 9.812
Ba Cr W
1 1 2
Direct
0.000 0.000 0.000
0.000 0.000 0.500
0.500 0.500 0.311
0.500 0.500 0.689
```

Computed properties:
- Relative energy among the computed polymorphs: 0.169 eV/atom


# 8
This record from the Alexandria database describes Sm6TlBi2 after structural relaxation. The functional is PBE.

Cell and atoms, written as POSCAR:
```
Sm6TlBi2
1.0
8.629 0.000 0.000
-4.315 7.473 0.000
0.000 0.000 4.468
Sm Tl Bi
6 1 2
Direct
0.000 0.253 0.000
0.000 0.592 0.500
0.253 0.000 0.000
0.408 0.408 0.500
0.592 0.000 0.500
0.747 0.747 0.000
0.000 0.000 0.500
0.333 0.667 0.000
0.667 0.333 0.000
```

Computed properties:
- DFT total energy: -0.3498 Ry per atom